Version one
Density functional theory data (PBE) for Ac3InAs after structural relaxation.

Cell and atoms, written as POSCAR:
```
Ac3InAs
1.0
-0.6247 -2.1014 -5.5281
5.7648 -1.4570 -0.0975
-1.3200 -5.3691 2.1901
Ac In As
3 1 1
direct
0.0000 0.5000 0.0000
0.0000 0.0000 0.5000
0.5000 0.0000 0.0000
0.5000 0.5000 0.5000
0.0000 0.0000 0.0000
```

total moment	0.0	μB/f.u.
DOS at the Fermi energy	0.501	states/eV/atom
symmetry	Pm-3m (221)
volume	210.32	Å³/cell



Version two
Density functional theory data (PBE) for Ac3InAs after structural relaxation.

Cell and atoms, written as POSCAR:
```
Ac3InAs
1.0
-3.7661 -1.6039 1.6156
-0.1136 -6.8749 -7.0899
9.0226 -10.7911 10.3194
As Ac In
4 12 4
direct
0.2500 0.3207 0.9527
0.2500 0.8207 0.5473
0.7500 0.6793 0.0473
0.7500 0.1793 0.4527
0.2500 0.4807 0.1097
0.2500 0.6623 0.6990
0.7500 0.1586 0.0378
0.7500 0.6586 0.4622
0.7500 0.0193 0.6097
0.7500 0.5193 0.8903
0.2500 0.1623 0.8010
0.2500 0.9807 0.3903
0.7500 0.3377 0.3010
0.2500 0.3414 0.5378
0.2500 0.8414 0.9622
0.7500 0.8377 0.1990
0.2500 0.6284 0.3032
0.7500 0.3716 0.6968
0.7500 0.8716 0.8032
0.2500 0.1284 0.1968
```

total moment	0.0	μB/f.u.
DOS at the Fermi energy	0.929	states/eV/atom
symmetry	Pnma (62)
volume	758.25	Å³/cell



In meV per atom, relative to the most stable structure: version one 228; version two 0.



Version one
Density functional theory data (PBE) for AcAs2Ir after structural relaxation.

Cell and atoms, written as POSCAR:
```
AcAs2Ir
1.0
4.3489 0.0020 0.0000
-0.0004 4.3492 -0.0012
-2.1754 -2.1751 5.0914
Ac As Ir
1 2 1
direct
0.2213 0.8812 0.2282
0.8590 0.5188 0.5038
0.5837 0.2434 0.9525
0.4712 0.6312 0.7282
```

total moment	0.0	μB/f.u.
DOS at the Fermi energy	0.830	states/eV/atom
symmetry	I-4m2 (119)
volume	96.29	Å³/cell



Version two
Density functional theory data (PBE) for AcAs2Ir after structural relaxation.

Cell and atoms, written as POSCAR:
```
AcAs2Ir
1.0
4.4257 0.0000 0.0000
0.0000 4.4589 0.0000
0.0000 0.0000 4.4589
Ac As Ir
1 2 1
direct
0.5000 0.0000 0.0000
0.0000 0.5000 0.0000
0.0000 0.0000 0.5000
0.5000 0.5000 0.5000
```

total moment	0.0	μB/f.u.
DOS at the Fermi energy	0.804	states/eV/atom
symmetry	P4/mmm (123)
volume	87.99	Å³/cell



In meV per atom, relative to the most stable structure: version one 0; version two 589.



Version one
Density functional theory data (PBE) for AcAs2Ir after structural relaxation.

Cell and atoms, written as POSCAR:
```
AcAs2Ir
1.0
-0.6035 4.0330 -0.8783
0.0673 1.3046 -3.9616
-5.9443 0.8269 -2.0248
Ac As Ir
1 2 1
direct
0.5000 0.5000 0.5000
0.7224 0.7224 0.8328
0.2776 0.2776 0.1672
0.0000 0.0000 0.0000
```

total moment	0.0	μB/f.u.
DOS at the Fermi energy	0.061	states/eV/atom
symmetry	R-3m (166)
volume	88.28	Å³/cell



Version two
Density functional theory data (PBE) for AcAs2Ir after structural relaxation.

Cell and atoms, written as POSCAR:
```
AcAs2Ir
1.0
4.6385 0.0000 0.0000
0.0000 4.4000 -1.1082
0.0000 -0.1267 8.7859
Ac As Ir
2 4 2
direct
0.7500 0.1089 0.2178
0.2500 0.8911 0.7822
0.2500 0.2511 0.5021
0.7500 0.4600 0.9201
0.2500 0.5400 0.0799
0.7500 0.7489 0.4979
0.7500 0.3132 0.6264
0.2500 0.6868 0.3736
```

total moment	0.0	μB/f.u.
DOS at the Fermi energy	0.307	states/eV/atom
symmetry	Cmcm (63)
volume	178.66	Å³/cell



In meV per atom, relative to the most stable structure: version one 55; version two 0.